Record 1
Crystalline NdZrPaO6 at its relaxed geometry. Source: Alexandria via LeMat-Bulk, functional GGA-PBE. Values from VASP.

Quantum ESPRESSO input file:
```
&SYSTEM
  ibrav = 0, nat = 9, ntyp = 4
/
ATOMIC_SPECIES
Nd 144.24 Nd.upf
Zr 91.22 Zr.upf
Pa 231.04 Pa.upf
O 16.00 O.upf
CELL_PARAMETERS angstrom
4.767 0.000 0.000
0.000 5.718 0.000
0.000 -2.859 4.952
ATOMIC_POSITIONS angstrom
Nd 2.383 2.859 1.651
Zr 2.383 0.000 0.000
Pa 0.000 0.000 3.301
O 3.536 1.842 3.453
O 3.536 -1.052 4.821
O 3.536 -0.790 1.631
O 1.231 0.790 1.631
O 1.231 1.052 4.821
O 1.231 -1.842 3.453
```

Summary:
Space group: P312
Density of states at the Fermi level, states/eV/f.u.: 0.00
Crystal system: trigonal
Formation energy from raw total energies, eV per atom: -3.3441

Record 2
Crystalline Pr3Nd3Zn2Co at its relaxed geometry. Source: Alexandria via LeMat-Bulk, functional GGA-PBE. Values from VASP.

Quantum ESPRESSO input file:
```
&SYSTEM
  ibrav = 0, nat = 9, ntyp = 4
/
ATOMIC_SPECIES
Pr 140.91 Pr.upf
Nd 144.24 Nd.upf
Zn 65.41 Zn.upf
Co 58.93 Co.upf
CELL_PARAMETERS angstrom
3.735 0.000 0.000
0.000 8.770 0.000
0.000 -4.385 7.595
ATOMIC_POSITIONS angstrom
Pr 0.000 2.594 4.493
Pr 0.000 -1.791 3.102
Pr 0.000 3.582 0.000
Nd 1.868 6.689 0.000
Nd 1.868 -3.344 5.793
Nd 1.868 1.040 1.802
Zn 1.868 4.385 2.532
Zn 1.868 0.000 5.063
Co 0.000 0.000 0.000
```

Summary:
Space group: P-62m
Density of states at the Fermi level, states/eV/f.u.: 10.67
Crystal system: hexagonal
Formation energy, eV/atom: -0.13

Record 3
Crystalline PbAu3O6 at its relaxed geometry. Source: Alexandria via LeMat-Bulk, functional GGA-PBE. Values from VASP.

Quantum ESPRESSO input file:
```
&SYSTEM
  ibrav = 0, nat = 10, ntyp = 3
/
ATOMIC_SPECIES
Pb 207.20 Pb.upf
Au 196.97 Au.upf
O 16.00 O.upf
CELL_PARAMETERS angstrom
-1.408 3.964 0.460
-4.561 -2.300 -3.876
-1.546 -0.141 6.222
ATOMIC_POSITIONS angstrom
Pb -3.053 -1.221 1.173
Au -2.985 0.832 -1.708
Au 0.000 0.000 0.000
Au -1.477 1.911 3.341
O -2.195 3.440 2.230
O -5.320 -1.917 0.576
O -1.777 -0.501 -0.785
O -5.737 2.023 3.591
O -4.269 0.579 -0.118
O -3.246 0.944 2.924
```

Summary:
Space group: C2/m
Density of states at the Fermi level, states/eV/f.u.: 5.15
Crystal system: monoclinic
Formation energy from raw total energies, eV per atom: -0.3119

Record 4
Crystalline Ba2Zn17 at its relaxed geometry. Source: Alexandria via LeMat-Bulk, functional GGA-PBE. Values from VASP.

Quantum ESPRESSO input file:
```
&SYSTEM
  ibrav = 0, nat = 19, ntyp = 2
/
ATOMIC_SPECIES
Ba 137.33 Ba.upf
Zn 65.41 Zn.upf
CELL_PARAMETERS angstrom
-3.158 6.323 0.046
-6.547 -2.339 1.273
0.115 0.947 7.003
ATOMIC_POSITIONS angstrom
Ba -3.274 1.683 2.841
Ba -6.317 3.248 5.481
Zn -6.371 2.769 1.949
Zn -4.722 0.059 5.455
Zn -8.655 4.450 7.510
Zn -0.936 0.481 0.812
Zn 0.057 0.474 3.502
Zn -3.274 -1.170 0.636
Zn -1.579 3.161 0.023
Zn -5.585 0.120 0.924
Zn -2.229 4.796 2.021
Zn -1.777 0.014 5.376
Zn -4.121 3.863 0.394
Zn -0.815 2.473 5.028
Zn -4.656 -1.406 2.900
Zn -4.869 4.872 2.867
Zn -3.219 2.162 6.373
Zn -6.577 0.506 3.485
Zn -3.014 4.425 4.837
```

Summary:
Space group: R-3m
Density of states at the Fermi level, states/eV/f.u.: 6.89
Crystal system: trigonal
Formation energy, eV/atom: -0.14

Please write out number 3 again, unchanged.
Crystalline PbAu3O6 at its relaxed geometry. Source: Alexandria via LeMat-Bulk, functional GGA-PBE. Values from VASP.

Quantum ESPRESSO input file:
```
&SYSTEM
  ibrav = 0, nat = 10, ntyp = 3
/
ATOMIC_SPECIES
Pb 207.20 Pb.upf
Au 196.97 Au.upf
O 16.00 O.upf
CELL_PARAMETERS angstrom
-1.408 3.964 0.460
-4.561 -2.300 -3.876
-1.546 -0.141 6.222
ATOMIC_POSITIONS angstrom
Pb -3.053 -1.221 1.173
Au -2.985 0.832 -1.708
Au 0.000 0.000 0.000
Au -1.477 1.911 3.341
O -2.195 3.440 2.230
O -5.320 -1.917 0.576
O -1.777 -0.501 -0.785
O -5.737 2.023 3.591
O -4.269 0.579 -0.118
O -3.246 0.944 2.924
```

Summary:
Space group: C2/m
Density of states at the Fermi level, states/eV/f.u.: 5.15
Crystal system: monoclinic
Formation energy from raw total energies, eV per atom: -0.3119

Q: Which value of density of states at the Fermi level does entry 2 give?
A: 10.67 states/eV/f.u.

Q: Look up the density of states at the Fermi level of the fourth one.
A: 6.89 states/eV/f.u.